(1)
Below is AlCu2TeBr after structural relaxation, with properties calculated at the PBE level.

Cell and atoms, written as POSCAR:
```
AlCu2TeBr
1.0
4.755 0.000 0.000
0.000 4.755 0.000
0.000 0.000 5.406
Al Cu Te Br
1 2 1 1
direct
0.000 0.000 0.000
0.000 0.500 0.000
0.500 0.000 0.000
0.000 0.000 0.500
0.500 0.500 0.500
```

Computed properties:
The value obtained for the uncorrected formation energy is 0.574 eV/atom. As for the crystal system: tetragonal.


(2)
Below is AlTl2CuBr6 after structural relaxation, with properties calculated at the PBE level.

Cell and atoms, written as POSCAR:
```
AlTl2CuBr6
1.0
7.452 0.000 0.000
-3.726 6.453 0.000
0.000 0.000 6.496
Al Tl Cu Br
1 2 1 6
direct
0.000 0.000 0.000
0.333 0.667 0.846
0.667 0.333 0.154
0.000 0.000 0.500
0.158 0.315 0.231
0.158 0.842 0.231
0.315 0.158 0.769
0.685 0.842 0.231
0.842 0.158 0.769
0.842 0.685 0.769
```

Computed properties:
The value obtained for the uncorrected formation energy is -0.789 eV/atom. As for the crystal system: trigonal.


(3)
Below is Al2TlCuBr8 after structural relaxation, with properties calculated at the PBE level.

Cell and atoms, written as POSCAR:
```
Al2TlCuBr8
1.0
7.480 0.000 0.000
-3.740 6.478 0.000
0.000 0.000 9.046
Al Tl Cu Br
2 1 1 8
direct
0.333 0.667 0.227
0.667 0.333 0.773
0.000 0.000 0.000
0.000 0.000 0.500
0.162 0.324 0.311
0.162 0.838 0.311
0.324 0.162 0.689
0.333 0.667 0.973
0.667 0.333 0.027
0.676 0.838 0.311
0.838 0.162 0.689
0.838 0.676 0.689
```

Computed properties:
The value obtained for the uncorrected formation energy is -0.869 eV/atom. As for the crystal system: trigonal.


(4)
Below is Dy2AlBr after structural relaxation, with properties calculated at the PBE level.

Cell and atoms, written as POSCAR:
```
Dy2AlBr
1.0
3.652 0.000 0.000
-1.826 3.163 0.000
0.000 0.000 26.494
Dy Al Br
6 3 3
direct
0.000 0.000 0.000
0.000 0.000 0.172
0.333 0.667 0.667
0.333 0.667 0.839
0.667 0.333 0.333
0.667 0.333 0.506
0.000 0.000 0.586
0.333 0.667 0.253
0.667 0.333 0.920
0.000 0.000 0.418
0.333 0.667 0.085
0.667 0.333 0.751
```

Computed properties:
The value obtained for the uncorrected formation energy is -0.659 eV/atom. As for the crystal system: trigonal.